[1]
DFT (GGA-PBE) results for a geometry-optimized YRe3Mo structure.

Calculated values
ΔE to the lowest computed polymorph in kJ/mol of atoms: 175.8
Space-group type: Pm-3m (221)
Energy of formation in eV per atom: 3.229
Total magnetic moment in μB per cell: 0.00
Final energy in Ry per atom: -0.5659
DOS(E_F) in states/eV per atom: 1.862

Cell and atoms, written as POSCAR:
```
YRe3Mo
1.0
4.691 0.000 0.000
0.000 4.691 0.000
0.000 0.000 4.691
Y Re Mo
1 3 1
Direct
0.000 0.000 0.000
0.500 0.000 0.000
0.000 0.000 0.500
0.000 0.500 0.000
0.500 0.500 0.500
```

[2]
DFT (GGA-PBE) results for a geometry-optimized YReMo2 structure.

Calculated values
ΔE to the lowest computed polymorph in kJ/mol of atoms: 13.8
Space-group type: C2/m (12)
Energy of formation in eV per atom: 0.370
Total magnetic moment in μB per cell: 0.00
Final energy in Ry per atom: -0.7184
DOS(E_F) in states/eV per atom: 0.825

Cell and atoms, written as POSCAR:
```
YReMo2
1.0
-2.784 -0.103 4.666
3.077 -4.313 -1.118
2.095 0.407 1.871
Y Mo Re
1 2 1
Direct
0.500 0.500 0.000
0.500 0.000 0.500
0.000 0.000 0.000
0.000 0.500 0.500
```

[3]
DFT (GGA-PBE) results for a geometry-optimized Y4ReMo structure.

Calculated values
Space-group type: F-43m (216)
Energy of formation in eV per atom: 1.251
Total magnetic moment in μB per cell: 0.00
Final energy in Ry per atom: -0.5100
DOS(E_F) in states/eV per atom: 1.662

Cell and atoms, written as POSCAR:
```
Y4ReMo
1.0
-5.013 0.700 2.975
-4.855 1.751 -2.799
-4.440 -3.756 -0.806
Mo Y Re
1 4 1
Direct
0.750 0.750 0.750
0.375 0.375 0.375
0.375 0.876 0.375
0.876 0.375 0.375
0.375 0.375 0.876
0.000 0.000 0.000
```